## FeTcIO2 (PBE+U)

Data for crystalline FeTcIO2 at its relaxed geometry.

Lattice parameters (Å, degrees): 3.8539 3.8539 6.2899 90.00 90.00 90.00
With the nearest neighbours (Å) after each atom.
Fractional coordinates of all 5 atoms:
I1 0.0000 0.0000 0.5000  4 Fe 2.73
Tc1 0.0000 0.0000 0.0000  4 O 1.93
O1 0.0000 0.5000 0.0000  2 Tc 1.93
O2 0.5000 0.0000 0.0000  2 Tc 1.93
Fe1 0.5000 0.5000 0.5000  4 I 2.73

Properties
For the calculated density, the calculation gives 5.6 Mg/m³. Its final energy is -5.7758 eV per atom.